DFT (PBE) results for a geometry-optimized BaZr2Ge2 structure.

For the energy above the most stable polymorph in this dataset, the calculation gives 164 meV per atom. The formation enthalpy at 0 K is -0.339 eV/atom. The total energy is -5.99 eV/atom. The space-group type is P4/mbm (127).

Cell lengths 8.570, 8.570, 3.122 Å; angles 90.00, 90.00, 90.00 degrees
Element x y z (fractional)
Ba 0.000 0.000 0.000
Ba 0.500 0.500 0.000
Zr 0.124 0.376 0.000
Zr 0.376 0.876 0.000
Zr 0.624 0.124 0.000
Zr 0.876 0.624 0.000
Ge 0.167 0.667 0.500
Ge 0.333 0.167 0.500
Ge 0.667 0.833 0.500
Ge 0.833 0.333 0.500